Entry 1:
DFT (GGA+U) results for a relaxed MoC4O4F6 crystal.

Summary:
DOS(E_F) ... 0.000 states/eV/f.u.
Space group ... P-1 (2)
Calculated total energy ... -6.3346 eV/atom

```
data_MoC4O4F6
_cell_length_a 5.6200
_cell_length_b 8.5556
_cell_length_c 9.2985
_cell_angle_alpha 87.82
_cell_angle_beta 86.82
_cell_angle_gamma 81.61
_symmetry_space_group_name_H-M 'P 1'
_symmetry_Int_Tables_number 1
loop_
_symmetry_equiv_pos_as_xyz
'x,y,z'
loop_
_atom_site_label
_atom_site_type_symbol
_atom_site_fract_x
_atom_site_fract_y
_atom_site_fract_z
_atom_site_occupancy
Mo1 Mo 0.1538 0.0647 0.4617 1
Mo2 Mo 0.8462 0.9353 0.5383 1
C1 C 0.0301 0.8543 0.2427 1
C2 C 0.0368 0.7729 0.0964 1
C3 C 0.3097 0.7573 0.6224 1
C4 C 0.4849 0.6256 0.6954 1
C5 C 0.5151 0.3744 0.3046 1
C6 C 0.6903 0.2427 0.3776 1
C7 C 0.9632 0.2271 0.9036 1
C8 C 0.9699 0.1457 0.7573 1
O1 O 0.0879 0.7463 0.6315 1
O2 O 0.1296 0.1799 0.6638 1
O3 O 0.1818 0.9476 0.2600 1
O4 O 0.4030 0.8714 0.5587 1
O5 O 0.5970 0.1286 0.4413 1
O6 O 0.8182 0.0524 0.7400 1
O7 O 0.8704 0.8201 0.3362 1
O8 O 0.9121 0.2537 0.3685 1
F1 F 0.1235 0.6166 0.1123 1
F2 F 0.1802 0.8374 0.9956 1
F3 F 0.1875 0.2141 0.9532 1
F4 F 0.3399 0.4368 0.4026 1
F5 F 0.3719 0.5081 0.7525 1
F6 F 0.4052 0.3114 0.1987 1
F7 F 0.5948 0.6886 0.8013 1
F8 F 0.6281 0.4919 0.2475 1
F9 F 0.6601 0.5632 0.5974 1
F10 F 0.8125 0.7859 0.0468 1
F11 F 0.8198 0.1626 0.0044 1
F12 F 0.8765 0.3834 0.8877 1
```

=====

Entry 2:
DFT (GGA+U) results for a relaxed Rb2MoCF6 crystal.

Summary:
DOS(E_F) ... 0.000 states/eV/f.u.
Space group ... I4/mmm (139)
Calculated total energy ... -4.6963 eV/atom

```
data_Rb2MoCF6
_cell_length_a 6.6044
_cell_length_b 6.6044
_cell_length_c 6.6044
_cell_angle_alpha 127.69
_cell_angle_beta 127.69
_cell_angle_gamma 77.13
_symmetry_space_group_name_H-M 'P 1'
_symmetry_Int_Tables_number 1
loop_
_symmetry_equiv_pos_as_xyz
'x,y,z'
loop_
_atom_site_label
_atom_site_type_symbol
_atom_site_fract_x
_atom_site_fract_y
_atom_site_fract_z
_atom_site_occupancy
Rb1 Rb 0.2500 0.7500 0.5000 1
Rb2 Rb 0.7500 0.2500 0.5000 1
Mo1 Mo 0.0000 0.0000 0.0000 1
C1 C 0.5000 0.5000 0.0000 1
F1 F 0.2018 0.2018 0.0000 1
F2 F 0.2562 0.2562 0.5124 1
F3 F 0.2562 0.7438 0.0000 1
F4 F 0.7438 0.2562 0.0000 1
F5 F 0.7438 0.7438 0.4876 1
F6 F 0.7982 0.7982 0.0000 1
```

=====

Entry 3:
DFT (GGA+U) results for a relaxed ZnMoCF2 crystal.

Summary:
DOS(E_F) ... 0.083 states/eV/f.u.
Space group ... P4/mmm (123)
Calculated total energy ... -4.3651 eV/atom

```
data_ZnMoCF2
_cell_length_a 3.6319
_cell_length_b 3.6319
_cell_length_c 5.6058
_cell_angle_alpha 90.00
_cell_angle_beta 90.00
_cell_angle_gamma 90.00
_symmetry_space_group_name_H-M 'P 1'
_symmetry_Int_Tables_number 1
loop_
_symmetry_equiv_pos_as_xyz
'x,y,z'
loop_
_atom_site_label
_atom_site_type_symbol
_atom_site_fract_x
_atom_site_fract_y
_atom_site_fract_z
_atom_site_occupancy
Zn1 Zn 0.0000 0.0000 0.0000 1
Mo1 Mo 0.5000 0.5000 0.5000 1
C1 C 0.0000 0.0000 0.5000 1
F1 F 0.0000 0.5000 0.0000 1
F2 F 0.5000 0.0000 0.0000 1
```

=====

> Among the records above, which one has the highest calculated total energy?

ZnMoCF2